Entry 1:
AcCd12 | PBE | optimized geometry

It has space group I4/mmm (No. 139), with a = 10.075 Å, b = 10.075 Å, c = 6.072 Å, α = 90.00°, β = 90.00° and γ = 90.00°. The distinct sites, in fractional coordinates, are Ac at (0.000, 0.000, 0.000), Cd at (0.000, 0.216, 0.500), Cd at (0.000, 0.354, 0.000) and Cd at (0.250, 0.250, 0.250).

The calculation puts the energy at -1.30 eV/atom. For the formation energy, the calculation gives -0.1406 eV per atom. The calculation puts the mass density at 8.49 g/cm3.


Entry 2:
UPa2Au | PBE | optimized geometry

It has space group R-3m (No. 166, hexagonal axes), with a = 3.0892 Å, b = 3.0892 Å, c = 33.1580 Å, α = 90.00°, β = 90.00° and γ = 120.00°. The distinct sites, in fractional coordinates, are U at (0.0000, 0.0000, 0.0000), Pa at (0.0000, 0.0000, 0.2472) and Au at (0.0000, 0.0000, 0.5000).

The calculation puts the energy at -8.28 eV/atom. For the formation energy, the calculation gives 0.1095 eV per atom. As for the distance to the lowest polymorph of the same formula: 26.9 kJ/mol of atoms. The calculation puts the mass density at 16.31 g/cm3.


Entry 3:
La8Ni3SI4 | PBE | optimized geometry

It has space group C2/m (No. 12), with a = 14.640 Å, b = 8.432 Å, c = 9.404 Å, α = 90.00°, β = 121.27° and γ = 90.00°. The distinct sites, in fractional coordinates, are La at (0.019, 0.247, 0.305), La at (0.228, 0.000, 0.682), La at (0.234, 0.500, 0.695), Ni at (0.000, 0.000, 0.500), Ni at (0.250, 0.250, 0.500), S at (0.000, 0.500, 0.500), I at (0.000, 0.000, 0.000), I at (0.000, 0.500, 0.000) and I at (0.250, 0.250, 0.000).

As for the uncorrected formation energy: -0.93 eV per atom. The calculation puts the energy at -5.13 eV/atom. The calculation puts the mass density at 6.12 g/cm3.


Entry 4:
Nd4TeSe2N | PBE | optimized geometry

It has space group Cmcm (No. 63), with a = 4.098 Å, b = 14.039 Å, c = 15.160 Å, α = 90.00°, β = 90.00° and γ = 90.00°. The distinct sites, in fractional coordinates, are Nd at (0.000, 0.000, 0.000), Nd at (0.000, 0.275, 0.128), Nd at (0.000, 0.409, 0.750), Te at (0.000, 0.094, 0.750), Se at (0.000, 0.360, 0.558) and N at (0.000, 0.178, 0.250).

As for the uncorrected formation energy: -1.56 eV per atom. The calculation puts the energy at -6.24 eV/atom. The calculation puts the mass density at 6.67 g/cm3.


Entry 5:
NdErNi | PBE | optimized geometry

It has space group F-43m (No. 216), with a = 6.791 Å, b = 6.791 Å, c = 6.791 Å, α = 90.00°, β = 90.00° and γ = 90.00°. The distinct sites, in fractional coordinates, are Nd at (0.000, 0.000, 0.000), Er at (0.000, 0.000, 0.500) and Ni at (0.250, 0.250, 0.250).

The calculation puts the energy at -5.15 eV/atom. For the formation energy, the calculation gives -0.1156 eV per atom. As for the distance to the lowest polymorph of the same formula: 13.5 kJ/mol of atoms. The calculation puts the mass density at 7.85 g/cm3.


Entry 6:
Pr5SmIn5 | PBE | optimized geometry

It has space group C2/m (No. 12), with a = 17.609 Å, b = 5.981 Å, c = 6.716 Å, α = 90.00°, β = 90.05° and γ = 90.00°. The distinct sites, in fractional coordinates, are Pr at (0.000, 0.000, 0.000), Pr at (0.159, 0.500, 0.999), Pr at (0.177, 0.500, 0.499), Sm at (0.000, 0.000, 0.500), In at (0.000, 0.500, 0.500), In at (0.163, 0.000, 0.239) and In at (0.163, 0.000, 0.760).

The calculation puts the energy at -4.08 eV/atom. For the formation energy, the calculation gives -0.2327 eV per atom. The calculation puts the mass density at 6.71 g/cm3.


Entry 7:
NiRhAu2 | PBE | optimized geometry

It has space group P4/mmm (No. 123), with a = 2.822 Å, b = 2.822 Å, c = 7.710 Å, α = 90.00°, β = 90.00° and γ = 90.00°. The distinct sites, in fractional coordinates, are Ni at (0.000, 0.000, 0.000), Rh at (0.000, 0.000, 0.500) and Au at (0.500, 0.500, 0.236).

The calculation puts the energy at -4.75 eV/atom. For the formation energy, the calculation gives 0.1734 eV per atom. As for the distance to the lowest polymorph of the same formula: 8.5 kJ/mol of atoms. The calculation puts the mass density at 15.02 g/cm3.


Entry 8:
NdZn3Ga | PBE | optimized geometry

It has space group Cm (No. 8), with a = 6.048 Å, b = 6.063 Å, c = 6.016 Å, α = 90.00°, β = 119.64° and γ = 90.00°. The distinct sites, in fractional coordinates, are Nd at (0.000, 0.000, 0.000), Zn at (0.001, 0.248, 0.501), Zn at (0.121, 0.500, 0.242) and Ga at (0.387, 0.000, 0.772).

The calculation puts the energy at -2.74 eV/atom. For the formation energy, the calculation gives -0.4142 eV per atom. The calculation puts the mass density at 7.11 g/cm3.


Entry 9:
AgI2Br | PBE | optimized geometry

It has space group I-42d (No. 122), with a = 10.666 Å, b = 10.666 Å, c = 5.426 Å, α = 90.00°, β = 90.00° and γ = 90.00°. The distinct sites, in fractional coordinates, are Ag at (0.000, 0.000, 0.000), I at (0.205, 0.250, 0.125) and Br at (0.000, 0.000, 0.500).

As for the uncorrected formation energy: 0.01 eV per atom. The calculation puts the energy at -1.90 eV/atom. As for the distance to the lowest polymorph of the same formula: 14.1 kJ/mol of atoms. The calculation puts the mass density at 4.75 g/cm3.


Entry 10:
RbCe2SmTe4 | PBE | optimized geometry

It has space group P2/m (No. 10), with a = 8.036 Å, b = 4.536 Å, c = 8.067 Å, α = 90.00°, β = 108.45° and γ = 90.00°. The distinct sites, in fractional coordinates, are Rb at (0.000, 0.000, 0.000), Ce at (0.500, 0.000, 0.500), Ce at (0.500, 0.500, 0.000), Sm at (0.000, 0.500, 0.500), Te at (0.253, 0.000, 0.739) and Te at (0.266, 0.500, 0.271).

As for the uncorrected formation energy: -1.29 eV per atom. The calculation puts the energy at -5.05 eV/atom. The calculation puts the mass density at 6.11 g/cm3.


Entry 11:
PrScPdAu | PBE | optimized geometry

It has space group F-43m (No. 216), with a = 7.098 Å, b = 7.098 Å, c = 7.098 Å, α = 90.00°, β = 90.00° and γ = 90.00°. The distinct sites, in fractional coordinates, are Pr at (0.000, 0.000, 0.000), Sc at (0.000, 0.000, 0.500), Pd at (0.250, 0.250, 0.250) and Au at (0.250, 0.250, 0.750).

The calculation puts the energy at -5.60 eV/atom. For the formation energy, the calculation gives -0.7076 eV per atom. The calculation puts the mass density at 9.09 g/cm3.


Entry 12:
Li5CaTl2 | PBE | optimized geometry

It has space group Immm (No. 71), with a = 3.975 Å, b = 8.636 Å, c = 10.962 Å, α = 90.00°, β = 90.00° and γ = 90.00°. The distinct sites, in fractional coordinates, are Li at (0.000, 0.000, 0.000), Li at (0.000, 0.308, 0.352), Ca at (0.000, 0.500, 0.000) and Tl at (0.000, 0.000, 0.261).

The calculation puts the energy at -2.20 eV/atom. For the formation energy, the calculation gives -0.1597 eV per atom. The calculation puts the mass density at 4.27 g/cm3.


Look up the mass density of the eleventh one. 9.09 g/cm3